V2SiRuAu (PBE, optimized geometry); E_form (uncorrected) = 5.7 eV/f.u.; density = 6.994 g cm⁻³
1.0
4.4603 0.0000 0.0000
0.0000 4.4603 0.0000
0.0000 0.0000 5.1076
V Si Ru Au
2 1 1 1
Direct
0.0000 0.5000 0.0000 V
0.5000 0.0000 0.0000 V
0.0000 0.0000 0.5000 Si
0.5000 0.5000 0.0000 Ru
0.5000 0.5000 0.5000 Au